{"formula": "RbNaNi2", "functional": "PBE", "state": "relaxed", "cell": [[-0.161, 2.838, -5.106], [-2.457, -1.480, -0.745], [-6.082, 6.191, 7.755]], "species": ["Rb", "Rb", "Ni", "Ni", "Ni", "Ni", "Na", "Na"], "frac_coords": [[0.820, 0.500, 0.901], [0.820, 0.000, 0.401], [0.597, 0.500, 0.117], [0.597, 0.000, 0.617], [0.367, 0.000, 0.974], [0.367, 0.500, 0.474], [0.213, 0.500, 0.706], [0.213, 0.000, 0.206]], "ef_ev_per_atom": 0.684, "n_ef_per_ev_atom": 1.715, "volume_a3_per_cell": 191.66, "m_tot_mub_per_atom": 0.252}

---

{"formula": "RbNa2Ni", "functional": "PBE", "state": "relaxed", "cell": [[-0.243, -4.864, -1.069], [3.935, 0.468, -3.027], [8.542, -4.371, 6.320]], "species": ["Rb", "Rb", "Na", "Na", "Na", "Na", "Ni", "Ni"], "frac_coords": [[0.750, 0.250, 0.500], [0.000, 0.000, 0.000], [0.375, 0.449, 0.750], [0.551, 0.125, 0.250], [0.875, 0.801, 0.750], [0.199, 0.625, 0.250], [0.250, 0.750, 0.500], [0.500, 0.500, 0.000]], "ef_ev_per_atom": 0.623, "n_ef_per_ev_atom": 0.815, "volume_a3_per_cell": 271.87, "m_tot_mub_per_atom": 0.000}

---

{"formula": "RbNa2Ni", "functional": "PBE", "state": "relaxed", "cell": [[1.857, -4.175, -3.119], [-3.470, -3.987, -1.635], [-1.493, -0.359, -5.315]], "species": ["Rb", "Na", "Na", "Ni"], "frac_coords": [[0.500, 0.500, 0.500], [0.750, 0.750, 0.750], [0.250, 0.250, 0.250], [0.000, 0.000, 0.000]], "ef_ev_per_atom": 0.560, "n_ef_per_ev_atom": 1.130, "volume_a3_per_cell": 119.75, "m_tot_mub_per_atom": 0.063}

---

{"formula": "RbNaNi2", "functional": "PBE", "state": "relaxed", "cell": [[4.756, 0.000, 0.000], [0.000, 4.756, 0.000], [2.378, 2.378, 9.883]], "species": ["Ni", "Ni", "Ni", "Ni", "Na", "Na", "Rb", "Rb"], "frac_coords": [[0.375, 0.625, 0.750], [0.375, 0.125, 0.250], [0.375, 0.625, 0.250], [0.875, 0.625, 0.750], [0.500, 0.500, 0.000], [0.250, 0.750, 0.500], [0.750, 0.250, 0.500], [0.000, 0.000, 0.000]], "ef_ev_per_atom": 0.781, "n_ef_per_ev_atom": 0.816, "volume_a3_per_cell": 223.56, "m_tot_mub_per_atom": 0.263}